(1)
Entry from Alexandria: a geometry-optimized TlPtCl2 structure (PBE).

Values from the calculation:
- DOS(E_F): 2.0 states/eV/cell
- Energy relative to the elements, uncorrected: 31 meV per atom
- Magnetic moment: 0.00 μB/f.u.
- Relative energy among the computed polymorphs: 349 meV/atom
- Symmetry: No. 99

Cell lengths 3.418, 3.418, 8.140 Å; angles 90.00, 90.00, 90.00 degrees
Atoms (fractional coordinates):
1 Tl 0.500 0.500 0.717
2 Pt 0.000 0.000 0.514
3 Cl 0.000 0.000 0.930
4 Cl 0.500 0.500 0.338



(2)
Entry from Alexandria: a geometry-optimized TlPt2Cl structure (PBE).

Values from the calculation:
- DOS(E_F): 0.9 states/eV/cell
- Energy relative to the elements, uncorrected: 172 meV per atom
- Magnetic moment: 0.00 μB/f.u.
- Relative energy among the computed polymorphs: 117 meV/atom
- Symmetry: No. 44

Cell lengths 5.428, 5.428, 5.428 Å; angles 141.15, 118.17, 75.48 degrees
Atoms (fractional coordinates):
1 Cl 0.191 0.691 0.500
2 Pt 0.007 0.007 0.000
3 Pt 0.796 0.296 0.500
4 Tl 0.506 0.506 0.000



(3)
Entry from Alexandria: a geometry-optimized TlPtCl2 structure (PBE).

Values from the calculation:
- DOS(E_F): 2.6 states/eV/cell
- Energy relative to the elements, uncorrected: 127 meV per atom
- Magnetic moment: 0.00 μB/f.u.
- Relative energy among the computed polymorphs: 445 meV/atom
- Symmetry: No. 119

Cell lengths 6.727, 6.727, 6.727 Å; angles 146.07, 146.07, 48.74 degrees
Atoms (fractional coordinates):
1 Tl 0.750 0.250 0.500
2 Pt 0.500 0.500 0.000
3 Cl 0.000 0.000 0.000
4 Cl 0.250 0.750 0.500



(4)
Entry from Alexandria: a geometry-optimized TlPtCl2 structure (PBE).

Values from the calculation:
- DOS(E_F): 1.1 states/eV/cell
- Energy relative to the elements, uncorrected: -315 meV per atom
- Magnetic moment: 0.78 μB/f.u.
- Relative energy among the computed polymorphs: 3 meV/atom
- Symmetry: No. 12

Cell lengths 5.851, 5.851, 5.962 Å; angles 59.53, 59.53, 36.66 degrees
Last column: magnetic moment on the atom in μB.
Atoms (fractional coordinates):
1 Tl 0.750 0.750 0.750  0.00
2 Pt 0.250 0.250 0.250  0.51
3 Cl 0.921 0.921 0.078  0.09
4 Cl 0.579 0.579 0.422  0.09